Record 1
# Hf3Ag

Hf3Ag after structural relaxation (PBE-GGA, Alexandria via LeMat-Bulk).

```
Hf3Ag
1.0
-2.1439 2.1439 4.5343
2.1439 -2.1439 4.5343
2.1439 2.1439 -4.5343
Hf Ag
3 1
Direct
0.0000 0.0000 0.0000
0.2500 0.7500 0.5000
0.7500 0.2500 0.5000
0.5000 0.5000 0.0000
```

Results
Calculated formation energy   0.08 eV per atom
VASP energy   -8.093 eV per atom
Relative energy among the computed polymorphs   81 meV per atom

=====

Record 2
# Hf3Ag

Hf3Ag after structural relaxation (PBE-GGA, Alexandria via LeMat-Bulk).

```
Hf3Ag
1.0
3.0398 0.0000 0.0000
0.0000 3.0479 0.0000
0.0000 0.0000 9.5905
Hf Ag
3 1
Direct
0.0000 0.0000 0.0000
0.0000 0.5000 0.2931
0.5000 0.5000 0.7751
0.5000 0.0000 0.5080
```

Results
Calculated formation energy   0.25 eV per atom
VASP energy   -7.931 eV per atom
Relative energy among the computed polymorphs   244 meV per atom

=====

Record 3
# Hf3Ag5

Hf3Ag5 after structural relaxation (PBE-GGA, Alexandria via LeMat-Bulk).

```
Hf3Ag5
1.0
3.3203 0.0000 0.0000
0.0000 3.3203 0.0000
0.0000 0.0000 14.1293
Hf Ag
3 5
Direct
0.0000 0.0000 0.0000
0.5000 0.5000 0.1405
0.5000 0.5000 0.8595
0.0000 0.0000 0.2668
0.0000 0.0000 0.5000
0.0000 0.0000 0.7332
0.5000 0.5000 0.3840
0.5000 0.5000 0.6160
```

Results
Calculated formation energy   0.00 eV per atom
VASP energy   -5.516 eV per atom

=====

Record 4
# Hf3Ag

Hf3Ag after structural relaxation (PBE-GGA, Alexandria via LeMat-Bulk).

```
Hf3Ag
1.0
4.3678 0.0000 0.0000
0.0000 4.3678 0.0000
0.0000 0.0000 4.3678
Hf Ag
3 1
Direct
0.0000 0.0000 0.5000
0.0000 0.5000 0.0000
0.5000 0.0000 0.0000
0.5000 0.5000 0.5000
```

Results
Calculated formation energy   0.10 eV per atom
VASP energy   -8.081 eV per atom
Relative energy among the computed polymorphs   93 meV per atom